# TbGeSe4 | Alexandria | PBE-GGA | optimized geometry
data_TbGeSe4
_symmetry_space_group_name_H-M 'P 1 21/m 1'
_symmetry_Int_Tables_number 11
_symmetry_space_group_name_Hall '-P 2yb'
_cell_length_a 5.8971
_cell_length_b 9.3117
_cell_length_c 6.8074
_cell_angle_alpha 90.00
_cell_angle_beta 111.49
_cell_angle_gamma 90.00
loop_
_atom_site_label
_atom_site_type_symbol
_atom_site_fract_x
_atom_site_fract_y
_atom_site_fract_z
Tb1 Tb 0.1132 0.2500 0.1582
Ge1 Ge 0.2988 0.7500 0.4337
Se1 Se 0.0318 0.5653 0.2172
Se2 Se 0.3248 0.2500 0.6147
Se3 Se 0.3813 0.7500 0.8051
# spin magnetization	0.0	μB/cell
# D(E_F)	7.0	states/eV per cell
# formation energy (no corrections)	-0.75	eV per atom
# calculated density	5.23	g/cm³
# total energy	-4.6170	eV/atom